(1)
Density functional theory data (PBE) for an optimized crystal structure of Ba4SrTa3O12.

Its crystal system is cubic. Its calculated density is 7.40 Mg/m³. The value obtained for the formation energy without anion corrections is -2879.4 meV/atom. The total energy comes out at -8.101 eV per atom. Its space group is Im-3m (229).

Cell and atoms, written as POSCAR:
```
Ba4SrTa3O12
1.0
7.366 0.000 0.000
-2.455 6.945 0.000
-2.455 -3.472 6.014
Ba Sr Ta O
4 1 3 12
Direct
0.500 0.500 0.500
0.000 0.000 0.500
0.500 0.000 0.000
0.000 0.500 0.000
0.000 0.000 0.000
0.500 0.000 0.500
0.500 0.500 0.000
0.000 0.500 0.500
0.250 0.500 0.750
0.726 0.000 0.726
0.274 0.000 0.274
0.750 0.500 0.250
0.726 0.726 0.000
0.274 0.274 0.000
0.750 0.250 0.500
0.250 0.750 0.500
0.500 0.250 0.750
0.000 0.726 0.726
0.500 0.750 0.250
0.000 0.274 0.274
```



(2)
Density functional theory data (PBE) for an optimized crystal structure of Ba3SrTa2O9.

Its crystal system is trigonal. Its calculated density is 6.93 Mg/m³. The value obtained for the formation energy without anion corrections is -2972.3 meV/atom. The total energy comes out at -8.024 eV per atom. Its polymorph energy (0 for the lowest one) is 22 kJ/mol of formula units. Its space group is P-3m1 (164).

Cell and atoms, written as POSCAR:
```
Ba3SrTa2O9
1.0
-1.816 -4.656 -3.353
3.537 -0.932 4.780
-6.217 -0.779 4.449
Ba Sr Ta O
3 1 2 9
Direct
0.333 0.667 0.696
0.000 0.000 0.000
0.667 0.333 0.304
0.000 0.000 0.500
0.333 0.667 0.166
0.667 0.333 0.834
0.500 0.500 0.000
0.000 0.500 0.000
0.500 0.000 0.000
0.822 0.178 0.701
0.822 0.645 0.701
0.355 0.178 0.701
0.178 0.822 0.299
0.178 0.355 0.299
0.645 0.822 0.299
```



(3)
Density functional theory data (PBE) for an optimized crystal structure of BaSrTbTiO6.

Its crystal system is cubic. Its calculated density is 5.86 Mg/m³. The value obtained for the formation energy without anion corrections is -2896.0 meV/atom. The total energy comes out at -7.484 eV per atom. Its polymorph energy (0 for the lowest one) is 10 kJ/mol of formula units. Its space group is F-43m (216).

Cell and atoms, written as POSCAR:
```
BaSrTbTiO6
1.0
1.658 -5.300 2.159
-2.279 -5.000 -2.304
3.433 -3.608 -3.271
Ba Sr Tb Ti O
1 1 1 1 6
Direct
0.750 0.750 0.750
0.250 0.250 0.250
0.000 0.000 0.000
0.500 0.500 0.500
0.266 0.734 0.266
0.734 0.266 0.734
0.266 0.734 0.734
0.734 0.266 0.266
0.266 0.266 0.734
0.734 0.734 0.266
```